(1)
{"formula": "MnNiI2O", "functional": "PBE with a Hubbard U", "state": "relaxed", "e_tot_ev_per_cell": -17.8, "polymorph_energy_mev_per_atom": 148, "dos_at_fermi_per_ev_atom": 0.52, "density_g_cm3": 5.44, "spacegroup": "P4/mmm, No. 123", "cell": [[-0.118, 0.609, 5.619], [-0.850, -5.558, 0.585], [3.621, -0.540, 0.135]], "species": ["I", "I", "Ni", "Mn", "O"], "frac_coords": [[0.000, 0.500, 0.000], [0.500, 0.000, 0.000], [0.000, 0.000, 0.000], [0.500, 0.500, 0.500], [0.000, 0.000, 0.500]]}


(2)
{"formula": "MnNiIO6", "functional": "PBE with a Hubbard U", "state": "relaxed", "e_tot_ev_per_cell": -96.5, "dos_at_fermi_per_ev_atom": 0.26, "density_g_cm3": 5.49, "spacegroup": "P-31c, No. 163", "cell": [[-3.844, -3.335, 0.165], [4.781, -1.588, 0.741], [-0.893, 1.468, 8.900]], "species": ["Mn", "Mn", "Ni", "Ni", "I", "I", "O", "O", "O", "O", "O", "O", "O", "O", "O", "O", "O", "O"], "frac_coords": [[0.000, 0.000, 0.000], [0.000, 0.000, 0.500], [0.333, 0.667, 0.250], [0.667, 0.333, 0.750], [0.667, 0.333, 0.250], [0.333, 0.667, 0.750], [0.657, 0.640, 0.133], [0.983, 0.343, 0.133], [0.343, 0.983, 0.633], [0.017, 0.657, 0.867], [0.360, 0.343, 0.367], [0.983, 0.640, 0.367], [0.640, 0.983, 0.867], [0.657, 0.017, 0.367], [0.017, 0.360, 0.633], [0.360, 0.017, 0.133], [0.640, 0.657, 0.633], [0.343, 0.360, 0.867]]}


(3)
{"formula": "MnNi2IO6", "functional": "PBE with a Hubbard U", "state": "relaxed", "e_tot_ev_per_cell": -47.5, "dos_at_fermi_per_ev_atom": 0.65, "density_g_cm3": 3.61, "spacegroup": "P4mm, No. 99", "cell": [[6.579, 0.000, 0.000], [0.000, 5.256, 0.000], [0.000, 0.000, 5.256]], "species": ["Mn", "Ni", "Ni", "I", "O", "O", "O", "O", "O", "O"], "frac_coords": [[0.691, 0.500, 0.500], [0.819, 0.500, 0.000], [0.819, 0.000, 0.500], [0.416, 0.000, 0.000], [0.781, 0.269, 0.269], [0.781, 0.269, 0.731], [0.446, 0.500, 0.500], [0.131, 0.000, 0.000], [0.781, 0.731, 0.731], [0.781, 0.731, 0.269]]}


(4)
{"formula": "MnNiI2O", "functional": "PBE with a Hubbard U", "state": "relaxed", "e_tot_ev_per_cell": -18.5, "polymorph_energy_mev_per_atom": 0, "dos_at_fermi_per_ev_atom": 0.82, "density_g_cm3": 5.21, "spacegroup": "P4/mmm, No. 123", "cell": [[-1.845, -0.734, 5.393], [1.772, -5.466, -0.137], [3.311, 1.042, 1.275]], "species": ["I", "I", "Ni", "Mn", "O"], "frac_coords": [[0.000, 0.500, 0.000], [0.500, 0.000, 0.000], [0.500, 0.500, 0.500], [0.000, 0.000, 0.000], [0.000, 0.000, 0.500]]}